# Ti12TcSb6 | the Alexandria database | PBE | relaxed
data_Ti12TcSb6
_space_group_name_H-M_alt 'R -3'
_space_group_IT_number 148
_space_group_name_Hall '-R 3'
_cell_length_a 13.0314
_cell_length_b 13.0314
_cell_length_c 7.1893
_cell_angle_alpha 90.00
_cell_angle_beta 90.00
_cell_angle_gamma 120.00
loop_
_atom_site_label
_atom_site_type_symbol
_atom_site_fract_x
_atom_site_fract_y
_atom_site_fract_z
Ti1 Ti 0.0068 0.1301 0.1950
Ti2 Ti 0.0617 0.5709 0.1661
Tc1 Tc 0.0000 0.0000 0.5000
Sb1 Sb 0.0192 0.2567 0.8526
# Mass density ... 6610 kg/m³
# Total moment ... 0.0000 μB/atom
# Formation energy (no corrections) ... -6.1 kcal/mol of atoms


# Cs2Te2Pd | the Alexandria database | PBE | relaxed
data_Cs2Te2Pd
_space_group_name_H-M_alt 'P 4/m b m'
_space_group_IT_number 127
_space_group_name_Hall '-P 4 2ab'
_cell_length_a 7.5950
_cell_length_b 7.5950
_cell_length_c 6.2057
_cell_angle_alpha 90.00
_cell_angle_beta 90.00
_cell_angle_gamma 90.00
loop_
_atom_site_label
_atom_site_type_symbol
_atom_site_fract_x
_atom_site_fract_y
_atom_site_fract_z
Cs1 Cs 0.1661 0.3339 0.0000
Te1 Te 0.1616 0.6616 0.5000
Pd1 Pd 0.0000 0.0000 0.5000
# Mass density ... 5821 kg/m³
# Total moment ... 0.0000 μB/atom
# Formation energy (no corrections) ... -12.7 kcal/mol of atoms


# Ce7Sb3Pb | the Alexandria database | PBE | relaxed
data_Ce7Sb3Pb
_space_group_name_H-M_alt 'I m m m'
_space_group_IT_number 71
_space_group_name_Hall '-I 2 2'
_cell_length_a 6.0880
_cell_length_b 9.1664
_cell_length_c 12.1507
_cell_angle_alpha 90.00
_cell_angle_beta 90.00
_cell_angle_gamma 90.00
loop_
_atom_site_label
_atom_site_type_symbol
_atom_site_fract_x
_atom_site_fract_y
_atom_site_fract_z
Ce1 Ce 0.0000 0.0000 0.0000
Ce2 Ce 0.0000 0.1453 0.5000
Ce3 Ce 0.0000 0.3565 0.2422
Sb1 Sb 0.0000 0.0000 0.2604
Sb2 Sb 0.0000 0.5000 0.0000
Pb1 Pb 0.0000 0.5000 0.5000
# Mass density ... 7608 kg/m³
# Total moment ... 0.5225 μB/atom
# Formation energy (no corrections) ... -12.5 kcal/mol of atoms


# NaTl2Bi2 | the Alexandria database | PBE | relaxed
data_NaTl2Bi2
_space_group_name_H-M_alt 'I 4/m m m'
_space_group_IT_number 139
_space_group_name_Hall '-I 4 2'
_cell_length_a 4.6995
_cell_length_b 4.6995
_cell_length_c 16.3022
_cell_angle_alpha 90.00
_cell_angle_beta 90.00
_cell_angle_gamma 90.00
loop_
_atom_site_label
_atom_site_type_symbol
_atom_site_fract_x
_atom_site_fract_y
_atom_site_fract_z
Na1 Na 0.0000 0.0000 0.0000
Tl1 Tl 0.0000 0.0000 0.3975
Bi1 Bi 0.0000 0.5000 0.2500
# Energy relative to the lowest polymorph listed for this composition ... 126.7 meV/atom
# Mass density ... 7838 kg/m³
# Total moment ... 0.0000 μB/atom


# MgBrO2 | the Alexandria database | PBE | relaxed
data_MgBrO2
_space_group_name_H-M_alt 'P 3 m 1'
_space_group_IT_number 156
_cell_length_a 3.2416
_cell_length_b 3.2416
_cell_length_c 6.1347
_cell_angle_alpha 90.00
_cell_angle_beta 90.00
_cell_angle_gamma 120.00
loop_
_space_group_symop_operation_xyz
'x,y,z'
'-y,x-y,z'
'-x+y,-x,z'
'-y,-x,z'
'-x+y,y,z'
'x,x-y,z'
loop_
_atom_site_label
_atom_site_type_symbol
_atom_site_fract_x
_atom_site_fract_y
_atom_site_fract_z
Mg1 Mg 0.0000 0.0000 0.0000
Br1 Br 0.3333 0.6667 0.4912
O1 O 0.3333 0.6667 0.7853
O2 O 0.6667 0.3333 0.1237
# Energy relative to the lowest polymorph listed for this composition ... 251.0 meV/atom
# Mass density ... 4051 kg/m³
# Total moment ... 0.1716 μB/atom
# Formation energy (no corrections) ... -22.2 kcal/mol of atoms


# UTeRh | the Alexandria database | PBE | relaxed
data_UTeRh
_space_group_name_H-M_alt 'P 3 m 1'
_space_group_IT_number 156
_cell_length_a 4.4423
_cell_length_b 4.4423
_cell_length_c 3.9206
_cell_angle_alpha 90.00
_cell_angle_beta 90.00
_cell_angle_gamma 120.00
loop_
_space_group_symop_operation_xyz
'x,y,z'
'-y,x-y,z'
'-x+y,-x,z'
'-y,-x,z'
'-x+y,y,z'
'x,x-y,z'
loop_
_atom_site_label
_atom_site_type_symbol
_atom_site_fract_x
_atom_site_fract_y
_atom_site_fract_z
U1 U 0.0000 0.0000 0.0000
Te1 Te 0.3333 0.6667 0.5221
Rh1 Rh 0.6667 0.3333 0.3628
# Mass density ... 11611 kg/m³
# Total moment ... 0.8436 μB/atom
# Formation energy (no corrections) ... -10.9 kcal/mol of atoms